# BaIO3

An optimized crystal structure of BaIO3 (PBE-GGA, the Alexandria database).

Structure (POSCAR):
```
BaIO3
1.0
-0.668 1.007 -6.563
-4.284 -4.354 -0.232
-7.051 6.844 1.767
Ba I O
4 4 12
direct
0.000 0.500 0.000
0.500 0.000 0.500
0.500 0.000 0.000
0.000 0.500 0.500
0.492 0.518 0.750
0.008 0.018 0.250
0.508 0.482 0.250
0.992 0.982 0.750
0.827 0.156 0.121
0.673 0.656 0.621
0.673 0.656 0.879
0.173 0.844 0.621
0.173 0.844 0.879
0.327 0.344 0.379
0.327 0.344 0.121
0.827 0.156 0.379
0.594 0.230 0.750
0.906 0.730 0.250
0.406 0.770 0.250
0.094 0.270 0.750
```

Values from the calculation:
- Formation energy without anion corrections: -1.167 eV per atom
- Symmetry: Pnma (62)
- E: -0.178 hartree per atom
- Crystal system: orthorhombic
- DOS at the Fermi energy: 0.291 states/eV/atom

=====

# As2IrPb

An optimized crystal structure of As2IrPb (PBE-GGA, the Alexandria database).

Structure (POSCAR):
```
As2IrPb
1.0
0.000 3.391 3.391
3.391 0.000 3.391
3.391 3.391 0.000
Pb As Ir
1 2 1
direct
0.500 0.500 0.500
0.250 0.250 0.250
0.750 0.750 0.750
0.000 0.000 0.000
```

Values from the calculation:
- Symmetry: Fm-3m (225)
- E: -0.184 hartree per atom
- Crystal system: cubic
- DOS at the Fermi energy: 0.876 states/eV/atom
- Formation energy from the elements: 0.453 eV/atom